A plane-wave DFT calculation with PBE was carried out for a relaxed Ac2La3HoSe6 crystal.

The space group is C2/m (No. 12) and the conventional cell measures 7.494, 13.006 and 7.480 Å, with angles of 90.00, 109.71 and 90.00 degrees. The inequivalent atoms are Ac at (0.000, 0.166, 0.000), La at (0.000, 0.000, 0.500), La at (0.000, 0.327, 0.500), Ho at (0.000, 0.500, 0.000), Se at (0.231, 0.500, 0.747) and Se at (0.239, 0.342, 0.246).

The theoretical density is 7.30 g/cm³. The value obtained for the magnetization is 0.00 μB per formula unit. For the uncorrected formation energy, the calculation gives -22.7 eV/f.u.

A plane-wave DFT calculation with PBE was carried out for a relaxed ScReAs2 crystal.

The space group is P2/m (No. 10) and the conventional cell measures 3.366, 4.176 and 5.116 Å, with angles of 90.00, 92.18 and 90.00 degrees. The inequivalent atoms are Sc at (0.000, 0.000, 0.000), Re at (0.500, 0.000, 0.500) and As at (0.418, 0.500, 0.758).

The theoretical density is 8.81 g/cm³. The value obtained for the magnetization is 0.00 μB per formula unit. The value obtained for the offset from the most stable computed form is 219.4 meV per atom. The value obtained for the formation energy is -0.238 eV/atom.

A plane-wave DFT calculation with PBE was carried out for a relaxed Ta2FeRu crystal.

The space group is Cmm2 (No. 35) and the conventional cell measures 3.704, 4.056 and 8.177 Å, with angles of 90.00, 90.00 and 90.00 degrees. The inequivalent atoms are Ta at (0.000, 0.000, 0.000), Ta at (0.000, 0.500, 0.291), Fe at (0.000, 0.000, 0.541) and Ru at (0.000, 0.500, 0.729).

The theoretical density is 14.03 g/cm³. The value obtained for the magnetization is 0.00 μB per formula unit. The value obtained for the formation energy is 0.066 eV/atom.

A plane-wave DFT calculation with PBE was carried out for a relaxed GdSc2Ag crystal.

The space group is R-3m (No. 166, hexagonal axes) and the conventional cell measures 3.2511, 3.2511 and 32.7106 Å, with angles of 90.00, 90.00 and 120.00 degrees. The inequivalent atoms are Gd at (0.0000, 0.0000, 0.0000), Sc at (0.0000, 0.0000, 0.0964) and Ag at (0.0000, 0.0000, 0.5000).

The theoretical density is 5.91 g/cm³. The value obtained for the magnetization is 7.56 μB per formula unit. The value obtained for the offset from the most stable computed form is 279.3 meV per atom. The value obtained for the formation energy is 0.197 eV/atom.

A plane-wave DFT calculation with PBE was carried out for a relaxed ScCd2Te crystal.

The space group is I-42d (No. 122) and the conventional cell measures 8.533, 8.533 and 5.761 Å, with angles of 90.00, 90.00 and 90.00 degrees. The inequivalent atoms are Sc at (0.000, 0.000, 0.000), Cd at (0.247, 0.250, 0.625) and Te at (0.000, 0.000, 0.500).

The theoretical density is 6.29 g/cm³. The value obtained for the magnetization is 0.00 μB per formula unit. For the uncorrected formation energy, the calculation gives -1.0 eV/f.u.

A plane-wave DFT calculation with PBE was carried out for a relaxed Ag2TeHPd crystal.

The space group is P4/mmm (No. 123) and the conventional cell measures 4.486, 4.486 and 4.012 Å, with angles of 90.00, 90.00 and 90.00 degrees. The inequivalent atoms are Ag at (0.000, 0.500, 0.000), Te at (0.000, 0.000, 0.500), H at (0.500, 0.500, 0.000) and Pd at (0.500, 0.500, 0.500).

The calculation puts the uncorrected energy at -3.436 eV/atom. The theoretical density is 9.27 g/cm³. The value obtained for the magnetization is 0.00 μB per formula unit.

A plane-wave DFT calculation with PBE was carried out for a relaxed CuAgHgCl4 crystal.

The space group is Imma (No. 74) and the conventional cell measures 7.467, 7.920 and 11.432 Å, with angles of 90.00, 90.00 and 90.00 degrees. The inequivalent atoms are Cu at (0.250, 0.250, 0.250), Ag at (0.000, 0.250, 0.656), Hg at (0.000, 0.000, 0.000), Cl at (0.000, 0.039, 0.239) and Cl at (0.249, 0.250, 0.010).

The theoretical density is 5.05 g/cm³. The value obtained for the magnetization is 0.03 μB per formula unit. For the uncorrected formation energy, the calculation gives -3.1 eV/f.u.

A plane-wave DFT calculation with PBE was carried out for a relaxed NdNiGe2 crystal.

The space group is Pnma (No. 62) and the conventional cell measures 6.934, 4.208 and 10.470 Å, with angles of 90.00, 90.00 and 90.00 degrees. The inequivalent atoms are Nd at (0.173, 0.250, 0.129), Ni at (0.010, 0.750, 0.363), Ge at (0.147, 0.250, 0.833) and Ge at (0.151, 0.250, 0.433).

The theoretical density is 7.57 g/cm³. The value obtained for the magnetization is 0.00 μB per formula unit. The value obtained for the formation energy is -0.714 eV/atom.